! PaFe4Sb12, optimized geometry, DFT PBE; values from VASP
! crystal system	cubic
! DOS at the Fermi energy	0.47	states/eV/atom
! E_form (uncorrected)	-12.9	kJ per mole of atoms
&SYSTEM
  ibrav = 0, nat = 17, ntyp = 3
/
ATOMIC_SPECIES
Pa 231.04 Pa.upf
Sb 121.76 Sb.upf
Fe 55.84 Fe.upf
CELL_PARAMETERS angstrom
7.462 0.000 -2.638
-3.731 6.462 -2.638
0.000 0.000 7.915
ATOMIC_POSITIONS crystal
Pa 0.000 0.000 0.000
Sb 0.332 0.170 0.837
Sb 0.668 0.505 0.837
Sb 0.837 0.668 0.505
Sb 0.668 0.830 0.163
Sb 0.332 0.495 0.163
Sb 0.505 0.837 0.668
Sb 0.830 0.163 0.668
Sb 0.837 0.332 0.170
Sb 0.170 0.837 0.332
Sb 0.495 0.163 0.332
Sb 0.163 0.668 0.830
Sb 0.163 0.332 0.495
Fe 0.500 0.000 0.000
Fe 0.000 0.000 0.500
Fe 0.000 0.500 0.000
Fe 0.500 0.500 0.500


! Pa4Fe3Sb8, optimized geometry, DFT PBE; values from VASP
! crystal system	tetragonal
! DOS at the Fermi energy	1.03	states/eV/atom
! E_form (uncorrected)	-42.5	kJ per mole of atoms
&SYSTEM
  ibrav = 0, nat = 15, ntyp = 3
/
ATOMIC_SPECIES
Pa 231.04 Pa.upf
Sb 121.76 Sb.upf
Fe 55.84 Fe.upf
CELL_PARAMETERS angstrom
4.391 0.000 0.000
0.000 4.391 0.000
0.000 0.000 17.969
ATOMIC_POSITIONS crystal
Pa 0.500 0.000 0.892
Pa 0.500 0.000 0.389
Pa 0.000 0.500 0.108
Pa 0.000 0.500 0.611
Sb 0.500 0.500 0.754
Sb 0.500 0.000 0.579
Sb 0.000 0.500 0.421
Sb 0.000 0.000 0.247
Sb 0.000 0.500 0.928
Sb 0.000 0.000 0.753
Sb 0.500 0.500 0.246
Sb 0.500 0.000 0.072
Fe 0.000 0.000 0.000
Fe 0.000 0.000 0.500
Fe 0.500 0.500 0.500


! PaFeSb2, optimized geometry, DFT PBE; values from VASP
! crystal system	trigonal
! DOS at the Fermi energy	1.39	states/eV/atom
! E_form (uncorrected)	-4.6	kJ per mole of atoms
&SYSTEM
  ibrav = 0, nat = 4, ntyp = 3
/
ATOMIC_SPECIES
Fe 55.84 Fe.upf
Sb 121.76 Sb.upf
Pa 231.04 Pa.upf
CELL_PARAMETERS angstrom
4.173 0.000 0.000
2.086 3.614 0.000
2.086 1.205 5.918
ATOMIC_POSITIONS crystal
Fe 0.000 0.000 0.000
Sb 0.727 0.727 0.818
Sb 0.273 0.273 0.182
Pa 0.500 0.500 0.500


! Pa2Fe3Sb2, optimized geometry, DFT PBE; values from VASP
! crystal system	monoclinic
! DOS at the Fermi energy	0.60	states/eV/atom
! E_form (uncorrected)	-31.0	kJ per mole of atoms
&SYSTEM
  ibrav = 0, nat = 7, ntyp = 3
/
ATOMIC_SPECIES
Fe 55.84 Fe.upf
Pa 231.04 Pa.upf
Sb 121.76 Sb.upf
CELL_PARAMETERS angstrom
1.190 1.642 -3.998
0.631 -4.566 -1.687
-6.496 -0.283 0.464
ATOMIC_POSITIONS crystal
Fe 0.000 0.000 0.000
Fe 0.214 0.809 0.427
Fe 0.786 0.191 0.573
Pa 0.853 0.627 0.705
Pa 0.147 0.373 0.295
Sb 0.398 0.154 0.796
Sb 0.602 0.846 0.204


! PaFeSb3, optimized geometry, DFT PBE; values from VASP
! crystal system	monoclinic
! DOS at the Fermi energy	0.81	states/eV/atom
! E_form (uncorrected)	-22.3	kJ per mole of atoms
&SYSTEM
  ibrav = 0, nat = 10, ntyp = 3
/
ATOMIC_SPECIES
Sb 121.76 Sb.upf
Pa 231.04 Pa.upf
Fe 55.84 Fe.upf
CELL_PARAMETERS angstrom
-1.593 0.666 -5.496
0.180 -6.436 -0.224
-6.067 -0.230 1.731
ATOMIC_POSITIONS crystal
Sb 0.711 0.382 0.250
Sb 0.210 0.169 0.000
Sb 0.289 0.618 0.750
Sb 0.790 0.831 0.000
Sb 0.210 0.169 0.500
Sb 0.790 0.831 0.500
Pa 0.747 0.343 0.750
Pa 0.253 0.657 0.250
Fe 0.533 0.044 0.750
Fe 0.467 0.956 0.250


! PaFeSb, optimized geometry, DFT PBE; values from VASP
! crystal system	orthorhombic
! DOS at the Fermi energy	0.90	states/eV/atom
! E_form (uncorrected)	-12.6	kJ per mole of atoms
&SYSTEM
  ibrav = 0, nat = 6, ntyp = 3
/
ATOMIC_SPECIES
Fe 55.84 Fe.upf
Pa 231.04 Pa.upf
Sb 121.76 Sb.upf
CELL_PARAMETERS angstrom
-3.077 2.221 3.104
-1.927 -3.474 0.576
3.094 -3.153 5.324
ATOMIC_POSITIONS crystal
Fe 0.500 0.000 0.000
Fe 0.000 0.000 0.000
Pa 0.250 0.158 0.684
Pa 0.750 0.842 0.316
Sb 0.750 0.601 0.797
Sb 0.250 0.399 0.203


Copy entry 1 word for word.
! PaFe4Sb12, optimized geometry, DFT PBE; values from VASP
! crystal system	cubic
! DOS at the Fermi energy	0.47	states/eV/atom
! E_form (uncorrected)	-12.9	kJ per mole of atoms
&SYSTEM
  ibrav = 0, nat = 17, ntyp = 3
/
ATOMIC_SPECIES
Pa 231.04 Pa.upf
Sb 121.76 Sb.upf
Fe 55.84 Fe.upf
CELL_PARAMETERS angstrom
7.462 0.000 -2.638
-3.731 6.462 -2.638
0.000 0.000 7.915
ATOMIC_POSITIONS crystal
Pa 0.000 0.000 0.000
Sb 0.332 0.170 0.837
Sb 0.668 0.505 0.837
Sb 0.837 0.668 0.505
Sb 0.668 0.830 0.163
Sb 0.332 0.495 0.163
Sb 0.505 0.837 0.668
Sb 0.830 0.163 0.668
Sb 0.837 0.332 0.170
Sb 0.170 0.837 0.332
Sb 0.495 0.163 0.332
Sb 0.163 0.668 0.830
Sb 0.163 0.332 0.495
Fe 0.500 0.000 0.000
Fe 0.000 0.000 0.500
Fe 0.000 0.500 0.000
Fe 0.500 0.500 0.500